DFT (PBE with a Hubbard U) results for a relaxed Ni2PO crystal.

a b c (Å): 5.4044 5.4044 5.4044
angles (deg): 90.00 90.00 90.00
With the nearest neighbours (Å) after each atom.
Atoms (fractional coordinates):
Ni1 0.2500 0.2500 0.2500  4 O 2.34, 4 P 2.34
Ni2 0.2500 0.2500 0.7500  4 O 2.34, 4 P 2.34
Ni3 0.2500 0.7500 0.2500  4 O 2.34, 4 P 2.34
Ni4 0.2500 0.7500 0.7500  4 O 2.34, 4 P 2.34
Ni5 0.7500 0.2500 0.2500  4 O 2.34, 4 P 2.34
Ni6 0.7500 0.2500 0.7500  4 O 2.34, 4 P 2.34
Ni7 0.7500 0.7500 0.2500  4 O 2.34, 4 P 2.34
Ni8 0.7500 0.7500 0.7500  4 P 2.34, 4 O 2.34
P1 0.0000 0.0000 0.0000  8 Ni 2.34
P2 0.0000 0.5000 0.5000  8 Ni 2.34
P3 0.5000 0.0000 0.5000  8 Ni 2.34
P4 0.5000 0.5000 0.0000  8 Ni 2.34
O1 0.0000 0.0000 0.5000  8 Ni 2.34
O2 0.0000 0.5000 0.0000  8 Ni 2.34
O3 0.5000 0.0000 0.0000  8 Ni 2.34
O4 0.5000 0.5000 0.5000  8 Ni 2.34

E above lowest polymorph, meV per atom: 544
E_tot, eV per atom: -3.38
Space-group type: Fm-3m, No. 225
DOS at the Fermi energy, states/eV per cell: 7.010
Crystal system: cubic